# LaScBiCl2

A relaxed structure of LaScBiCl2 (PBE, the Alexandria database).

Cell: 4.782 4.782 8.403 Å, 90.00 90.00 90.00°
Element x y z (fractional)
La 0.000 0.000 0.000
Sc 0.000 0.000 0.500
Bi 0.500 0.500 0.000
Cl 0.000 0.500 0.500
Cl 0.500 0.000 0.500

For the raw total energy, the calculation gives -4.7654 eV/atom. Its crystal system is tetragonal. The symmetry is P4/mmm, No. 123.

---

# TlHg2B2O6

A relaxed structure of TlHg2B2O6 (PBE, the Alexandria database).

Cell: 5.445 5.445 7.593 Å, 122.33 122.33 58.91°
Element x y z (fractional)
Tl 0.000 0.000 0.000
Hg 0.420 0.420 0.597
Hg 0.580 0.580 0.403
B 0.220 0.220 0.768
B 0.780 0.780 0.232
O 0.075 0.511 0.747
O 0.082 0.082 0.777
O 0.489 0.925 0.253
O 0.511 0.075 0.747
O 0.918 0.918 0.223
O 0.925 0.489 0.253

For the raw total energy, the calculation gives -5.3789 eV/atom. Its crystal system is monoclinic. The symmetry is C2/m, No. 12.

---

# La2NdHo8

A relaxed structure of La2NdHo8 (PBE, the Alexandria database).

Cell: 9.467 9.467 8.009 Å, 104.72 104.72 31.12°
Element x y z (fractional)
La 0.227 0.227 0.137
La 0.773 0.773 0.863
Nd 0.500 0.500 0.500
Ho 0.044 0.044 0.226
Ho 0.135 0.135 0.677
Ho 0.319 0.319 0.594
Ho 0.411 0.411 0.045
Ho 0.589 0.589 0.955
Ho 0.681 0.681 0.406
Ho 0.865 0.865 0.323
Ho 0.956 0.956 0.774

Its crystal system is monoclinic. As for the formation energy: 31 meV per atom. The symmetry is C2/m, No. 12.